[1]
Entry from the Alexandria database: a relaxed V8B2H crystal (PBE).

Results
As for the space group: C2/m. The total energy comes out at -8.3860 eV/atom. The value obtained for the mass density is 5.9 g/cm3.

Cell: 3.056 6.011 6.810 Å, 95.99 102.97 90.00°
Sites, in units of the cell vectors:
V1 0.407 0.462 0.815
V2 0.665 0.006 0.330
V3 0.795 0.654 0.590
V4 0.989 0.195 0.979
V5 0.205 0.346 0.410
V6 0.335 0.994 0.670
V7 0.593 0.538 0.185
V8 0.011 0.805 0.021
B1 0.815 0.256 0.630
B2 0.185 0.744 0.370
H1 0.500 0.000 0.000

[2]
Entry from the Alexandria database: a relaxed V2BH2 crystal (PBE).

Results
As for the space group: I4/mmm. The total energy comes out at -6.5304 eV/atom. The value obtained for the mass density is 5.1 g/cm3.

Cell: 2.777 2.777 5.221 Å, 74.58 74.58 90.00°
Sites, in units of the cell vectors:
H1 0.750 0.250 0.500
H2 0.250 0.750 0.500
B1 0.000 0.000 0.000
V1 0.377 0.377 0.245
V2 0.623 0.623 0.755

[3]
Entry from the Alexandria database: a relaxed VB2H8 crystal (PBE).

Results
As for the space group: C2/c. The total energy comes out at -4.5240 eV/atom. The value obtained for the mass density is 1.4 g/cm3.

Cell: 6.183 6.573 6.907 Å, 52.35 63.41 61.94°
Site moments in Bohr magnetons follow the coordinates.
Sites, in units of the cell vectors:
V1 0.960 0.750 0.250  0.88
V2 0.040 0.250 0.750  0.88
B1 0.865 0.891 0.913  -0.01
B2 0.331 0.391 0.413  -0.01
B3 0.669 0.609 0.587  -0.01
B4 0.135 0.109 0.087  -0.01
H1 0.442 0.675 0.649  0.00
H2 0.079 0.906 0.301  0.00
H3 0.706 0.943 0.082  0.00
H4 0.252 0.203 0.487  0.00
H5 0.294 0.057 0.918  0.00
H6 0.943 0.297 0.013  0.00
H7 0.748 0.797 0.513  0.00
H8 0.268 0.443 0.582  0.00
H9 0.057 0.703 0.987  0.00
H10 0.766 0.825 0.851  0.00
H11 0.714 0.406 0.801  0.00
H12 0.286 0.594 0.199  0.00
H13 0.234 0.175 0.149  0.00
H14 0.732 0.557 0.418  0.00
H15 0.558 0.325 0.351  0.00
H16 0.921 0.094 0.699  0.00

[4]
Entry from the Alexandria database: a relaxed V4B2H crystal (PBE).

Results
As for the space group: I4/mmm. The total energy comes out at -7.8667 eV/atom. The value obtained for the mass density is 5.6 g/cm3.

Cell: 3.310 3.310 6.607 Å, 75.50 75.50 90.00°
Sites, in units of the cell vectors:
H1 0.000 0.000 0.000
B1 0.364 0.364 0.273
B2 0.636 0.636 0.727
V1 0.182 0.182 0.635
V2 0.818 0.818 0.365
V3 0.000 0.500 0.000
V4 0.500 0.000 0.000

[5]
Entry from the Alexandria database: a relaxed VB2H6 crystal (PBE).

Results
As for the space group: Fm-3m. The total energy comes out at -3.7341 eV/atom. The value obtained for the mass density is 2.7 g/cm3.

Cell: 4.106 4.105 4.106 Å, 60.00 60.00 60.00°
Site moments in Bohr magnetons follow the coordinates.
Sites, in units of the cell vectors:
V1 0.000 0.000 0.000  0.53
B1 0.750 0.750 0.750  0.02
B2 0.250 0.250 0.250  0.02
H1 0.282 0.718 0.718  0.00
H2 0.718 0.718 0.282  0.00
H3 0.718 0.282 0.718  0.00
H4 0.718 0.282 0.282  0.00
H5 0.282 0.282 0.718  0.00
H6 0.282 0.718 0.282  0.00

[6]
Entry from the Alexandria database: a relaxed V3B2H crystal (PBE).

Results
As for the space group: Immm. The total energy comes out at -7.6745 eV/atom. The value obtained for the mass density is 5.2 g/cm3.

Cell: 4.224 5.965 5.156 Å, 106.77 114.18 90.00°
Sites, in units of the cell vectors:
V1 0.500 0.250 0.000
V2 0.500 0.750 0.000
V3 0.171 0.086 0.343
V4 0.829 0.414 0.657
V5 0.171 0.586 0.343
V6 0.829 0.914 0.657
B1 0.667 0.583 0.334
B2 0.667 0.083 0.334
B3 0.333 0.917 0.666
B4 0.333 0.417 0.666
H1 0.000 0.750 0.000
H2 0.000 0.250 0.000

[7]
Entry from the Alexandria database: a relaxed V4BH crystal (PBE).

Results
As for the space group: I4_1md. The total energy comes out at -7.8255 eV/atom. The value obtained for the mass density is 5.4 g/cm3.

Cell: 5.562 5.562 5.562 Å, 106.73 106.73 115.10°
Sites, in units of the cell vectors:
V1 0.255 0.986 0.732
V2 0.754 0.455 0.701
V3 0.736 0.505 0.232
V4 0.205 0.004 0.201
V5 0.273 0.505 0.768
V6 0.803 0.004 0.799
V7 0.754 0.053 0.299
V8 0.255 0.523 0.268
B1 0.734 0.734 0.000
B2 0.484 0.984 0.500
H1 0.248 0.248 0.000
H2 0.998 0.498 0.500

[8]
Entry from the Alexandria database: a relaxed VBH2 crystal (PBE).

Results
As for the space group: R-3m. The total energy comes out at -5.2242 eV/atom. The value obtained for the mass density is 4.5 g/cm3.

Cell: 2.993 2.993 3.466 Å, 64.41 64.41 60.00°
Sites, in units of the cell vectors:
H1 0.226 0.226 0.321
H2 0.774 0.774 0.679
B1 0.500 0.500 0.500
V1 0.000 0.000 0.000